A relaxed structure of Eu2Fe2O5. Source: the Alexandria database, functional GGA+U.

## Properties
Volume ... 13.14 Å³/atom
Calculated density ... 6.96 g cm⁻³
Spin magnetization ... 9.07 μB/cell
E above lowest polymorph ... 60 meV per atom

CIF file:
```
data_Eu2Fe2O5
_cell_length_a 3.962
_cell_length_b 3.962
_cell_length_c 7.533
_cell_angle_alpha 90.00
_cell_angle_beta 90.00
_cell_angle_gamma 90.00
_space_group_name_H-M_alt 'P 4/m m m'
_space_group_IT_number 123
_space_group_name_Hall '-P 4 2'
loop_
_atom_site_label
_atom_site_fract_x
_atom_site_fract_y
_atom_site_fract_z
Eu1 0.000 0.000 0.000
Eu2 0.000 0.000 0.500
Fe1 0.500 0.500 0.241
O1 0.000 0.500 0.209
O2 0.500 0.500 0.500
```